(1)
# InSiIr, relaxed, DFT PBE
data_InSiIr
_chemical_formula_sum 'In1 Si1 Ir1'
_space_group_name_H-M_alt 'P 1'
_space_group_IT_number 1
_cell_length_a 6.1350
_cell_length_b 6.1350
_cell_length_c 2.9322
_cell_angle_alpha 90.13
_cell_angle_beta 90.13
_cell_angle_gamma 28.56
loop_
_space_group_symop_operation_xyz
'x,y,z'
loop_
_atom_site_label
_atom_site_fract_x
_atom_site_fract_y
_atom_site_fract_z
_atom_site_occupancy
In1 0.0000 0.0000 0.0000 1
Si1 0.7087 0.7087 0.9992 1
Ir1 0.3183 0.3183 0.4994 1
# - ΔE_f (raw): -167 meV/atom
# - SG: Cm, No. 8
# - Density of states at the Fermi level: 0.9 states/eV per cell
# - Energy: -5.842 eV per atom
# - Spin magnetization: 0.00 Bohr magnetons per cell

(2)
# Tb2InSi2Ir5, relaxed, DFT PBE
data_Tb2InSi2Ir5
_chemical_formula_sum 'Tb4 In2 Si4 Ir10'
_space_group_name_H-M_alt 'P 1'
_space_group_IT_number 1
_cell_length_a 9.7945
_cell_length_b 9.7945
_cell_length_c 3.5720
_cell_angle_alpha 90.00
_cell_angle_beta 90.00
_cell_angle_gamma 90.00
loop_
_space_group_symop_operation_xyz
'x,y,z'
loop_
_atom_site_label
_atom_site_fract_x
_atom_site_fract_y
_atom_site_fract_z
_atom_site_occupancy
Tb1 0.1760 0.3240 0.0000 1
Tb2 0.3240 0.8240 0.0000 1
Tb3 0.6760 0.1760 0.0000 1
Tb4 0.8240 0.6760 0.0000 1
In1 0.0000 0.0000 0.0000 1
In2 0.5000 0.5000 0.0000 1
Si1 0.1223 0.6223 0.0000 1
Si2 0.3777 0.1223 0.0000 1
Si3 0.6223 0.8777 0.0000 1
Si4 0.8777 0.3777 0.0000 1
Ir1 0.0000 0.5000 0.5000 1
Ir2 0.0680 0.7823 0.5000 1
Ir3 0.2177 0.0680 0.5000 1
Ir4 0.2823 0.5680 0.5000 1
Ir5 0.4320 0.2823 0.5000 1
Ir6 0.5000 0.0000 0.5000 1
Ir7 0.5680 0.7177 0.5000 1
Ir8 0.7177 0.4320 0.5000 1
Ir9 0.7823 0.9320 0.5000 1
Ir10 0.9320 0.2177 0.5000 1
# - ΔE_f (raw): -799 meV/atom
# - SG: P4/mbm, No. 127
# - Density of states at the Fermi level: 6.6 states/eV per cell
# - Energy: -7.514 eV per atom
# - Spin magnetization: 0.00 Bohr magnetons per cell

(3)
# ThInSi2Ir5, relaxed, DFT PBE
data_ThInSi2Ir5
_chemical_formula_sum 'Th1 In1 Si2 Ir5'
_space_group_name_H-M_alt 'P 1'
_space_group_IT_number 1
_cell_length_a 4.0013
_cell_length_b 4.0013
_cell_length_c 10.9881
_cell_angle_alpha 90.00
_cell_angle_beta 90.00
_cell_angle_gamma 90.00
loop_
_space_group_symop_operation_xyz
'x,y,z'
loop_
_atom_site_label
_atom_site_fract_x
_atom_site_fract_y
_atom_site_fract_z
_atom_site_occupancy
Th1 0.0000 0.0000 0.0000 1
In1 0.0000 0.0000 0.5000 1
Si1 0.5000 0.5000 0.2146 1
Si2 0.5000 0.5000 0.7854 1
Ir1 0.0000 0.5000 0.3249 1
Ir2 0.0000 0.5000 0.6751 1
Ir3 0.5000 0.0000 0.3249 1
Ir4 0.5000 0.0000 0.6751 1
Ir5 0.5000 0.5000 0.0000 1
# - ΔE_f (raw): -364 meV/atom
# - SG: P4/mmm, No. 123
# - Density of states at the Fermi level: 5.2 states/eV per cell
# - Energy: -7.620 eV per atom
# - Spin magnetization: 0.00 Bohr magnetons per cell

(4)
# Th2InSi3Ir4, relaxed, DFT PBE
data_Th2InSi3Ir4
_chemical_formula_sum 'Th2 In1 Si3 Ir4'
_space_group_name_H-M_alt 'P 1'
_space_group_IT_number 1
_cell_length_a 4.1502
_cell_length_b 4.1502
_cell_length_c 10.7607
_cell_angle_alpha 90.00
_cell_angle_beta 90.00
_cell_angle_gamma 90.00
loop_
_space_group_symop_operation_xyz
'x,y,z'
loop_
_atom_site_label
_atom_site_fract_x
_atom_site_fract_y
_atom_site_fract_z
_atom_site_occupancy
Th1 0.0000 0.5000 0.2452 1
Th2 0.5000 0.0000 0.7548 1
In1 0.0000 0.0000 0.5000 1
Si1 0.0000 0.5000 0.8795 1
Si2 0.5000 0.0000 0.1205 1
Si3 0.5000 0.5000 0.5000 1
Ir1 0.0000 0.0000 0.0000 1
Ir2 0.0000 0.5000 0.6607 1
Ir3 0.5000 0.0000 0.3393 1
Ir4 0.5000 0.5000 0.0000 1
# - ΔE_f (raw): -906 meV/atom
# - SG: P-4m2, No. 115
# - Density of states at the Fermi level: 4.1 states/eV per cell
# - Energy: -7.835 eV per atom
# - Spin magnetization: 0.00 Bohr magnetons per cell

(5)
# Tl2InSiIr, relaxed, DFT PBE
data_Tl2InSiIr
_chemical_formula_sum 'Tl2 In1 Si1 Ir1'
_space_group_name_H-M_alt 'P 1'
_space_group_IT_number 1
_cell_length_a 5.5622
_cell_length_b 5.5622
_cell_length_c 5.0143
_cell_angle_alpha 90.00
_cell_angle_beta 90.00
_cell_angle_gamma 90.00
loop_
_space_group_symop_operation_xyz
'x,y,z'
loop_
_atom_site_label
_atom_site_fract_x
_atom_site_fract_y
_atom_site_fract_z
_atom_site_occupancy
Tl1 0.0000 0.5000 0.0000 1
Tl2 0.5000 0.0000 0.0000 1
In1 0.0000 0.0000 0.0000 1
Si1 0.5000 0.5000 0.5000 1
Ir1 0.0000 0.0000 0.5000 1
# - ΔE_f (raw): 1283 meV/atom
# - SG: P4/mmm, No. 123
# - Density of states at the Fermi level: 3.2 states/eV per cell
# - Energy: -3.068 eV per atom
# - Spin magnetization: 0.00 Bohr magnetons per cell

(6)
# TlInSiIr2, relaxed, DFT PBE
data_TlInSiIr2
_chemical_formula_sum 'Tl1 In1 Si1 Ir2'
_space_group_name_H-M_alt 'P 1'
_space_group_IT_number 1
_cell_length_a 5.0683
_cell_length_b 5.0683
_cell_length_c 4.8527
_cell_angle_alpha 90.00
_cell_angle_beta 90.00
_cell_angle_gamma 90.00
loop_
_space_group_symop_operation_xyz
'x,y,z'
loop_
_atom_site_label
_atom_site_fract_x
_atom_site_fract_y
_atom_site_fract_z
_atom_site_occupancy
Tl1 0.0000 0.0000 0.0000 1
In1 0.5000 0.5000 0.5000 1
Si1 0.0000 0.0000 0.5000 1
Ir1 0.0000 0.5000 0.0000 1
Ir2 0.5000 0.0000 0.0000 1
# - ΔE_f (raw): 1752 meV/atom
# - SG: P4/mmm, No. 123
# - Density of states at the Fermi level: 5.3 states/eV per cell
# - Energy: -3.898 eV per atom
# - Spin magnetization: 1.07 Bohr magnetons per cell

(7)
# TmInSi2Ir5, relaxed, DFT PBE
data_TmInSi2Ir5
_chemical_formula_sum 'Tm1 In1 Si2 Ir5'
_space_group_name_H-M_alt 'P 1'
_space_group_IT_number 1
_cell_length_a 3.9031
_cell_length_b 3.9031
_cell_length_c 11.3412
_cell_angle_alpha 90.00
_cell_angle_beta 90.00
_cell_angle_gamma 90.00
loop_
_space_group_symop_operation_xyz
'x,y,z'
loop_
_atom_site_label
_atom_site_fract_x
_atom_site_fract_y
_atom_site_fract_z
_atom_site_occupancy
Tm1 0.0000 0.0000 0.0000 1
In1 0.0000 0.0000 0.5000 1
Si1 0.5000 0.5000 0.2060 1
Si2 0.5000 0.5000 0.7940 1
Ir1 0.0000 0.5000 0.3243 1
Ir2 0.0000 0.5000 0.6757 1
Ir3 0.5000 0.0000 0.3243 1
Ir4 0.5000 0.0000 0.6757 1
Ir5 0.5000 0.5000 0.0000 1
# - ΔE_f (raw): -258 meV/atom
# - SG: P4/mmm, No. 123
# - Density of states at the Fermi level: 6.3 states/eV per cell
# - Energy: -7.187 eV per atom
# - Spin magnetization: 0.00 Bohr magnetons per cell

(8)
# VIn2SiIr, relaxed, DFT PBE
data_VIn2SiIr
_chemical_formula_sum 'V1 In2 Si1 Ir1'
_space_group_name_H-M_alt 'P 1'
_space_group_IT_number 1
_cell_length_a 5.1442
_cell_length_b 5.1442
_cell_length_c 4.4998
_cell_angle_alpha 90.00
_cell_angle_beta 90.00
_cell_angle_gamma 90.00
loop_
_space_group_symop_operation_xyz
'x,y,z'
loop_
_atom_site_label
_atom_site_fract_x
_atom_site_fract_y
_atom_site_fract_z
_atom_site_occupancy
V1 0.0000 0.0000 0.0000 1
In1 0.0000 0.5000 0.0000 1
In2 0.5000 0.0000 0.0000 1
Si1 0.5000 0.5000 0.5000 1
Ir1 0.0000 0.0000 0.5000 1
# - ΔE_f (raw): 1007 meV/atom
# - SG: P4/mmm, No. 123
# - Density of states at the Fermi level: 4.7 states/eV per cell
# - Energy: -4.769 eV per atom
# - Spin magnetization: 0.49 Bohr magnetons per cell

(9)
# YInSi2Ir5, relaxed, DFT PBE
data_YInSi2Ir5
_chemical_formula_sum 'Y1 In1 Si2 Ir5'
_space_group_name_H-M_alt 'P 1'
_space_group_IT_number 1
_cell_length_a 3.9317
_cell_length_b 3.9317
_cell_length_c 11.2472
_cell_angle_alpha 90.00
_cell_angle_beta 90.00
_cell_angle_gamma 90.00
loop_
_space_group_symop_operation_xyz
'x,y,z'
loop_
_atom_site_label
_atom_site_fract_x
_atom_site_fract_y
_atom_site_fract_z
_atom_site_occupancy
Y1 0.0000 0.0000 0.0000 1
In1 0.0000 0.0000 0.5000 1
Si1 0.5000 0.5000 0.2078 1
Si2 0.5000 0.5000 0.7922 1
Ir1 0.0000 0.5000 0.3246 1
Ir2 0.0000 0.5000 0.6754 1
Ir3 0.5000 0.0000 0.3246 1
Ir4 0.5000 0.0000 0.6754 1
Ir5 0.5000 0.5000 0.0000 1
# - ΔE_f (raw): -261 meV/atom
# - SG: P4/mmm, No. 123
# - Density of states at the Fermi level: 5.8 states/eV per cell
# - Energy: -7.411 eV per atom
# - Spin magnetization: 0.00 Bohr magnetons per cell

(10)
# Y2InSi2Ir5, relaxed, DFT PBE
data_Y2InSi2Ir5
_chemical_formula_sum 'Y4 In2 Si4 Ir10'
_space_group_name_H-M_alt 'P 1'
_space_group_IT_number 1
_cell_length_a 9.7825
_cell_length_b 9.7825
_cell_length_c 3.5688
_cell_angle_alpha 90.00
_cell_angle_beta 90.00
_cell_angle_gamma 90.00
loop_
_space_group_symop_operation_xyz
'x,y,z'
loop_
_atom_site_label
_atom_site_fract_x
_atom_site_fract_y
_atom_site_fract_z
_atom_site_occupancy
Y1 0.1759 0.3241 0.0000 1
Y2 0.3241 0.8241 0.0000 1
Y3 0.6759 0.1759 0.0000 1
Y4 0.8241 0.6759 0.0000 1
In1 0.0000 0.0000 0.0000 1
In2 0.5000 0.5000 0.0000 1
Si1 0.1225 0.6225 0.0000 1
Si2 0.3775 0.1225 0.0000 1
Si3 0.6225 0.8775 0.0000 1
Si4 0.8775 0.3775 0.0000 1
Ir1 0.0000 0.5000 0.5000 1
Ir2 0.0682 0.7828 0.5000 1
Ir3 0.2172 0.0682 0.5000 1
Ir4 0.2828 0.5682 0.5000 1
Ir5 0.4318 0.2828 0.5000 1
Ir6 0.5000 0.0000 0.5000 1
Ir7 0.5682 0.7172 0.5000 1
Ir8 0.7172 0.4318 0.5000 1
Ir9 0.7828 0.9318 0.5000 1
Ir10 0.9318 0.2172 0.5000 1
# - ΔE_f (raw): -804 meV/atom
# - SG: P4/mbm, No. 127
# - Density of states at the Fermi level: 6.2 states/eV per cell
# - Energy: -7.886 eV per atom
# - Spin magnetization: 0.00 Bohr magnetons per cell

Copy entry 7 word for word.
# TmInSi2Ir5, relaxed, DFT PBE
data_TmInSi2Ir5
_chemical_formula_sum 'Tm1 In1 Si2 Ir5'
_space_group_name_H-M_alt 'P 1'
_space_group_IT_number 1
_cell_length_a 3.9031
_cell_length_b 3.9031
_cell_length_c 11.3412
_cell_angle_alpha 90.00
_cell_angle_beta 90.00
_cell_angle_gamma 90.00
loop_
_space_group_symop_operation_xyz
'x,y,z'
loop_
_atom_site_label
_atom_site_fract_x
_atom_site_fract_y
_atom_site_fract_z
_atom_site_occupancy
Tm1 0.0000 0.0000 0.0000 1
In1 0.0000 0.0000 0.5000 1
Si1 0.5000 0.5000 0.2060 1
Si2 0.5000 0.5000 0.7940 1
Ir1 0.0000 0.5000 0.3243 1
Ir2 0.0000 0.5000 0.6757 1
Ir3 0.5000 0.0000 0.3243 1
Ir4 0.5000 0.0000 0.6757 1
Ir5 0.5000 0.5000 0.0000 1
# - ΔE_f (raw): -258 meV/atom
# - SG: P4/mmm, No. 123
# - Density of states at the Fermi level: 6.3 states/eV per cell
# - Energy: -7.187 eV per atom
# - Spin magnetization: 0.00 Bohr magnetons per cell